# Ti2Rh2C, single point on PBEsol structure, DFT SCAN
# - E: -21.590 eV/atom
data_Ti2Rh2C
_space_group_name_H-M_alt 'I 4/m m m'
_space_group_IT_number 139
_space_group_name_Hall '-I 4 2'
_cell_length_a 4.9795
_cell_length_b 4.9795
_cell_length_c 6.2679
_cell_angle_alpha 90.00
_cell_angle_beta 90.00
_cell_angle_gamma 90.00
loop_
_atom_site_label
_atom_site_fract_x
_atom_site_fract_y
_atom_site_fract_z
Ti1 0.0000 0.5000 0.2500
Rh1 0.0000 0.0000 0.2058
C1 0.0000 0.0000 0.5000

=====

# TaSi5, single point on PBEsol structure, DFT SCAN
# - E: -19.145 eV/atom
# - Energy relative to the lowest polymorph listed for this composition: 0 meV/atom
# - Raw formation energy: 173 kJ/mol of formula units
data_TaSi5
_space_group_name_H-M_alt 'A m m 2'
_space_group_IT_number 38
_space_group_name_Hall 'A 2 -2'
_cell_length_a 3.3987
_cell_length_b 3.4840
_cell_length_c 15.4717
_cell_angle_alpha 90.00
_cell_angle_beta 90.00
_cell_angle_gamma 90.00
loop_
_atom_site_label
_atom_site_fract_x
_atom_site_fract_y
_atom_site_fract_z
Ta1 0.0000 0.0000 0.0000
Si1 0.0000 0.0000 0.3688
Si2 0.0000 0.0000 0.7332
Si3 0.5000 0.0000 0.1657
Si4 0.5000 0.0000 0.5564
Si5 0.5000 0.0000 0.8643

=====

# CaBi2Pt2, single point on PBEsol structure, DFT SCAN
# - E: -61.920 eV/atom
data_CaBi2Pt2
_space_group_name_H-M_alt 'I 4/m m m'
_space_group_IT_number 139
_space_group_name_Hall '-I 4 2'
_cell_length_a 4.9808
_cell_length_b 4.9808
_cell_length_c 9.9338
_cell_angle_alpha 90.00
_cell_angle_beta 90.00
_cell_angle_gamma 90.00
loop_
_atom_site_label
_atom_site_fract_x
_atom_site_fract_y
_atom_site_fract_z
Ca1 0.0000 0.0000 0.0000
Bi1 0.0000 0.5000 0.2500
Pt1 0.0000 0.0000 0.3699

=====

# KRbBa2, single point on PBEsol structure, DFT SCAN
# - E: -26.869 eV/atom
data_KRbBa2
_space_group_name_H-M_alt 'F m -3 m'
_space_group_IT_number 225
_space_group_name_Hall '-F 4 2 3'
_cell_length_a 10.2660
_cell_length_b 10.2660
_cell_length_c 10.2660
_cell_angle_alpha 90.00
_cell_angle_beta 90.00
_cell_angle_gamma 90.00
loop_
_atom_site_label
_atom_site_fract_x
_atom_site_fract_y
_atom_site_fract_z
K1 0.0000 0.0000 0.0000
Rb1 0.0000 0.0000 0.5000
Ba1 0.2500 0.2500 0.2500

=====

Total magnetic moment for every record listed, in sequence, given in μB per formula unit: 0.00, 0.00, 0.00, 0.00.